# 1
Here is an optimized crystal structure of LaGaSe2 from the Alexandria database. Energies are from GGA-PBE.

The structure belongs to space group Cm (No. 8); the cell edges are 8.378, 8.704 and 5.917 Å and the angles 90.00°, 110.78° and 90.00°. The inequivalent atoms are La at (0.000, 0.249, 0.000), Ga at (0.353, 0.000, 0.586), Ga at (0.430, 0.500, 0.580), Se at (0.144, 0.241, 0.577), Se at (0.282, 0.500, 0.129) and Se at (0.284, 0.000, 0.137).

The value obtained for the volume is 25.21 A^3/atom. The density of states at the Fermi level is 0.0 states/eV per cell. The value obtained for the formation energy from raw total energies is -1411.1 meV per atom.


# 2
Here is an optimized crystal structure of LaGaSe2 from the Alexandria database. Energies are from GGA-PBE.

The structure belongs to space group Pm (No. 6); the cell edges are 4.203, 4.317 and 5.895 Å and the angles 90.00°, 109.96° and 90.00°. The inequivalent atoms are La at (0.000, 0.000, 0.000), Ga at (0.691, 0.500, 0.584), Se at (0.286, 0.000, 0.578) and Se at (0.559, 0.500, 0.135).

The value obtained for the volume is 25.13 A^3/atom. The value obtained for the formation energy from raw total energies is -1412.3 meV per atom.


# 3
Here is an optimized crystal structure of La4GaSe3 from the Alexandria database. Energies are from GGA-PBE.

The structure belongs to space group Pm-3m (No. 221); the cell edges are 6.147, 6.147 and 6.147 Å and the angles 90.00°, 90.00° and 90.00°. The inequivalent atoms are La at (0.000, 0.000, 0.000), La at (0.000, 0.500, 0.500), Ga at (0.500, 0.500, 0.500) and Se at (0.000, 0.000, 0.500).

The value obtained for the volume is 29.03 A^3/atom. The density of states at the Fermi level is 3.7 states/eV per cell. The value obtained for the formation energy from raw total energies is -1668.5 meV per atom.


# 4
Here is an optimized crystal structure of LaGaSe2 from the Alexandria database. Energies are from GGA-PBE.

The structure belongs to space group Cm (No. 8); the cell edges are 14.394, 4.299 and 8.109 Å and the angles 90.00°, 118.50° and 90.00°. The inequivalent atoms are La at (0.000, 0.000, 0.000), La at (0.091, 0.000, 0.575), Ga at (0.256, 0.000, 0.024), Ga at (0.338, 0.500, 0.490), Se at (0.028, 0.500, 0.778), Se at (0.210, 0.000, 0.338), Se at (0.268, 0.500, 0.751) and Se at (0.463, 0.000, 0.241).

The value obtained for the volume is 27.56 A^3/atom. The value obtained for the formation energy from raw total energies is -1302.6 meV per atom.


# 5
Here is an optimized crystal structure of La5GaSe8 from the Alexandria database. Energies are from GGA-PBE.

The structure belongs to space group I-4 (No. 82); the cell edges are 9.127, 9.127 and 9.071 Å and the angles 90.00°, 90.00° and 90.00°. The inequivalent atoms are La at (0.000, 0.000, 0.000), La at (0.131, 0.752, 0.379), Ga at (0.000, 0.500, 0.750), Se at (0.075, 0.830, 0.702) and Se at (0.076, 0.679, 0.059).

The value obtained for the volume is 26.99 A^3/atom. The value obtained for the formation energy from raw total energies is -1849.0 meV per atom.


# 6
Here is an optimized crystal structure of LaGaSe2 from the Alexandria database. Energies are from GGA-PBE.

The structure belongs to space group Cmcm (No. 63); the cell edges are 4.215, 25.285 and 4.223 Å and the angles 90.00°, 90.00° and 90.00°. The inequivalent atoms are La at (0.000, 0.175, 0.250), Ga at (0.000, 0.474, 0.250), Se at (0.000, 0.085, 0.750) and Se at (0.000, 0.298, 0.250).

The value obtained for the volume is 28.13 A^3/atom. The density of states at the Fermi level is 1.7 states/eV per cell. The value obtained for the formation energy from raw total energies is -1379.0 meV per atom.